AcCuBr, optimized geometry, DFT PBE; formation energy without anion corrections = -0.99 eV per atom; V = 32.18 Å³/atom; M_tot = 0.0 μB/f.u.
1.0
3.751 -2.194 0.000
3.751 2.194 0.000
-2.002 0.000 11.731
Ac Cu Br
2 2 2
Cartesian
0.227 0.000 2.051
5.274 0.000 9.680
2.503 0.000 0.011
2.997 0.000 11.720
0.261 0.000 7.647
5.239 0.000 4.084